Entry 1:
# YSbAu4, single point on PBEsol structure, DFT meta-GGA SCAN
# Mass density   13743 kg/m³
# Formation energy from raw total energies   -0.496 eV/atom
# Symmetry   F-43m (216)
data_YSbAu4
_chemical_formula_sum 'Y1 Sb1 Au4'
_space_group_name_H-M_alt 'P 1'
_space_group_IT_number 1
_cell_length_a 5.546
_cell_length_b 5.546
_cell_length_c 5.546
_cell_angle_alpha 60.00
_cell_angle_beta 60.00
_cell_angle_gamma 60.00
loop_
_space_group_symop_operation_xyz
'x,y,z'
loop_
_atom_site_label
_atom_site_type_symbol
_atom_site_fract_x
_atom_site_fract_y
_atom_site_fract_z
_atom_site_occupancy
Au1 Au 0.875 0.375 0.375 1
Y1 Y 0.000 0.000 0.000 1
Sb1 Sb 0.750 0.750 0.750 1
Au2 Au 0.375 0.375 0.375 1
Au3 Au 0.375 0.375 0.875 1
Au4 Au 0.375 0.875 0.375 1

---

Entry 2:
# Cu2BiN, single point on PBEsol structure, DFT meta-GGA SCAN
# Mass density   10092 kg/m³
# Formation energy from raw total energies   1.243 eV/atom
# Symmetry   Fm-3m (225)
data_Cu2BiN
_chemical_formula_sum 'Cu2 Bi1 N1'
_space_group_name_H-M_alt 'P 1'
_space_group_IT_number 1
_cell_length_a 4.335
_cell_length_b 4.335
_cell_length_c 4.335
_cell_angle_alpha 60.00
_cell_angle_beta 60.00
_cell_angle_gamma 60.00
loop_
_space_group_symop_operation_xyz
'x,y,z'
loop_
_atom_site_label
_atom_site_type_symbol
_atom_site_fract_x
_atom_site_fract_y
_atom_site_fract_z
_atom_site_occupancy
Cu1 Cu 0.750 0.750 0.750 1
Cu2 Cu 0.250 0.250 0.250 1
N1 N 0.000 0.000 0.000 1
Bi1 Bi 0.500 0.500 0.500 1

---

Entry 3:
# CsTiCuOF5, single point on PBEsol structure, DFT meta-GGA SCAN
# Mass density   4339 kg/m³
# Formation energy from raw total energies   -2.879 eV/atom
# Symmetry   Imma (74)
data_CsTiCuOF5
_chemical_formula_sum 'Cs2 Ti2 Cu2 O2 F10'
_space_group_name_H-M_alt 'P 1'
_space_group_IT_number 1
_cell_length_a 7.244
_cell_length_b 7.300
_cell_length_c 7.195
_cell_angle_alpha 119.52
_cell_angle_beta 90.00
_cell_angle_gamma 119.74
loop_
_space_group_symop_operation_xyz
'x,y,z'
loop_
_atom_site_label
_atom_site_type_symbol
_atom_site_fract_x
_atom_site_fract_y
_atom_site_fract_z
_atom_site_occupancy
F1 F 0.067 0.135 0.317 1
O1 O 0.290 0.580 0.040 1
Cu1 Cu 0.000 0.000 0.500 1
Cs1 Cs 0.613 0.225 0.363 1
F2 F 0.911 0.246 0.065 1
Ti1 Ti 0.500 0.500 0.000 1
F3 F 0.089 0.754 0.935 1
F4 F 0.665 0.754 0.319 1
F5 F 0.089 0.754 0.319 1
F6 F 0.335 0.246 0.065 1
F7 F 0.335 0.246 0.681 1
F8 F 0.911 0.246 0.681 1
F9 F 0.665 0.754 0.935 1
Cs2 Cs 0.387 0.775 0.637 1
Ti2 Ti 0.000 0.500 0.000 1
F10 F 0.933 0.865 0.683 1
O2 O 0.710 0.420 0.960 1
Cu2 Cu 0.000 0.000 0.000 1

---

Entry 4:
# MgTiSiO5, single point on PBEsol structure, DFT meta-GGA SCAN
# Mass density   3569 kg/m³
# Formation energy from raw total energies   -3.127 eV/atom
# Symmetry   P1 (1)
data_MgTiSiO5
_chemical_formula_sum 'Mg2 Ti2 Si2 O10'
_space_group_name_H-M_alt 'P 1'
_space_group_IT_number 1
_cell_length_a 5.136
_cell_length_b 5.401
_cell_length_c 6.945
_cell_angle_alpha 105.05
_cell_angle_beta 101.16
_cell_angle_gamma 108.87
loop_
_space_group_symop_operation_xyz
'x,y,z'
loop_
_atom_site_label
_atom_site_type_symbol
_atom_site_fract_x
_atom_site_fract_y
_atom_site_fract_z
_atom_site_occupancy
O1 O 0.193 0.621 0.368 1
Mg1 Mg 0.147 0.289 0.732 1
O2 O 0.805 0.865 0.594 1
O3 O 0.396 0.067 0.738 1
O4 O 0.098 0.792 0.949 1
O5 O 0.607 0.938 0.244 1
Si1 Si 0.809 0.676 0.749 1
O6 O 0.806 0.377 0.610 1
Mg2 Mg 0.846 0.717 0.287 1
O7 O 0.911 0.203 0.020 1
O8 O 0.480 0.360 0.154 1
Ti1 Ti 0.504 0.996 0.996 1
Ti2 Ti 0.492 0.005 0.495 1
O9 O 0.191 0.133 0.385 1
Si2 Si 0.190 0.322 0.230 1
O10 O 0.522 0.640 0.828 1

---

Among the records above, which one has the highest formation energy from raw total energies? Cu2BiN

---

The highest formation energy from raw total energies belongs to which entry? Cu2BiN